MnV8Tc2 | PBE-GGA | optimized geometry

The formation energy is -0.208 eV/atom. Its crystal system is monoclinic.

```
data_MnV8Tc2
_chemical_formula_sum 'Mn2 V16 Tc4'
_symmetry_space_group_name_H-M 'C 1 2/m 1'
_symmetry_Int_Tables_number 12
_cell_length_a 13.8848
_cell_length_b 4.2474
_cell_length_c 4.9499
_cell_angle_alpha 90.00
_cell_angle_beta 90.32
_cell_angle_gamma 90.00
loop_
_symmetry_equiv_pos_as_xyz
'x,y,z'
'-x,-y,-z'
'-x,y,-z'
'x,-y,z'
'x+1/2,y+1/2,z'
'-x+1/2,-y+1/2,-z'
'-x+1/2,y+1/2,-z'
'x+1/2,-y+1/2,z'
loop_
_atom_site_label
_atom_site_fract_x
_atom_site_fract_y
_atom_site_fract_z
_atom_site_occupancy
Mn1 0.0000 0.0000 0.0000 1
V1 0.0442 0.5000 0.7322 1
V2 0.0883 0.0000 0.4439 1
V3 0.1350 0.5000 0.1852 1
V4 0.1789 0.0000 0.9135 1
Tc1 0.2253 0.5000 0.6412 1
```

RbCuPdF5 | PBE-GGA | optimized geometry

The energy relative to the elements, uncorrected comes out at -1369 kJ/mol of formula units. Its crystal system is orthorhombic.

```
data_RbCuPdF5
_chemical_formula_sum 'Rb4 Cu4 Pd4 F20'
_symmetry_space_group_name_H-M 'P n m a'
_symmetry_Int_Tables_number 62
_cell_length_a 6.1244
_cell_length_b 7.5507
_cell_length_c 11.0725
_cell_angle_alpha 90.00
_cell_angle_beta 90.00
_cell_angle_gamma 90.00
loop_
_symmetry_equiv_pos_as_xyz
'x,y,z'
'-x,-y,-z'
'-x+1/2,-y,z+1/2'
'x+1/2,y,-z+1/2'
'x+1/2,-y+1/2,-z+1/2'
'-x+1/2,y+1/2,z+1/2'
'-x,y+1/2,-z'
'x,-y+1/2,z'
loop_
_atom_site_label
_atom_site_fract_x
_atom_site_fract_y
_atom_site_fract_z
_atom_site_occupancy
Rb1 0.0018 0.2500 0.0949 1
Cu1 0.0000 0.0000 0.5000 1
Pd1 0.2401 0.2500 0.7488 1
F1 0.0001 0.2500 0.4394 1
F2 0.2384 0.0618 0.6206 1
F3 0.2463 0.0642 0.8771 1
```

Tb3HoZn8 | PBE-GGA | optimized geometry

The energy above the most stable polymorph in this dataset comes out at 11 meV per atom. The formation energy is -0.324 eV/atom. Its crystal system is trigonal.

```
data_Tb3HoZn8
_chemical_formula_sum 'Tb3 Ho1 Zn8'
_symmetry_space_group_name_H-M 'P 3 m 1'
_symmetry_Int_Tables_number 156
_cell_length_a 5.5518
_cell_length_b 5.5518
_cell_length_c 8.6537
_cell_angle_alpha 90.00
_cell_angle_beta 90.00
_cell_angle_gamma 120.00
loop_
_symmetry_equiv_pos_as_xyz
'x,y,z'
'-y,x-y,z'
'-x+y,-x,z'
'-y,-x,z'
'-x+y,y,z'
'x,x-y,z'
loop_
_atom_site_label
_atom_site_fract_x
_atom_site_fract_y
_atom_site_fract_z
_atom_site_occupancy
Tb1 0.0000 0.0000 0.0000 1
Tb2 0.0000 0.0000 0.3851 1
Tb3 0.3333 0.6667 0.8857 1
Ho1 0.3333 0.6667 0.5013 1
Zn1 0.0035 0.5018 0.1940 1
Zn2 0.3308 0.1654 0.6925 1
Zn3 0.6667 0.3333 0.4427 1
Zn4 0.6667 0.3333 0.9433 1
```

Nd5HoSc2 | PBE-GGA | optimized geometry

The energy above the most stable polymorph in this dataset comes out at 101 meV per atom. The formation energy is 0.139 eV/atom. Its crystal system is tetragonal.

```
data_Nd5HoSc2
_chemical_formula_sum 'Nd20 Ho4 Sc8'
_symmetry_space_group_name_H-M 'I 4/m c m'
_symmetry_Int_Tables_number 140
_symmetry_space_group_name_Hall '-I 4 2c'
_cell_length_a 9.0901
_cell_length_b 9.0901
_cell_length_c 12.5443
_cell_angle_alpha 90.00
_cell_angle_beta 90.00
_cell_angle_gamma 90.00
loop_
_atom_site_label
_atom_site_fract_x
_atom_site_fract_y
_atom_site_fract_z
_atom_site_occupancy
Nd1 0.0000 0.0000 0.0000 1
Nd2 0.1494 0.3506 0.1596 1
Ho1 0.0000 0.0000 0.2500 1
Sc1 0.1471 0.3529 0.5000 1
```